Arrangement w

A plane-wave DFT calculation with GGA-PBE was carried out for a relaxed structure of Tb2Sm7Ho.

abc: 5.4573 9.5196 9.5196
angles: 125.26 90.00 90.00
With the nearest neighbours (Å) after each atom.
Element x y z (fractional)
Sm1 0.5000 0.9319 0.7107  2 Sm 3.13-3.38, 2 Tb 3.23-3.50
Sm2 0.5000 0.0681 0.2893  2 Sm 3.13-3.38, 2 Tb 3.23-3.50
Sm3 0.5000 0.5000 0.5000  4 Sm 3.38, 2 Tb 3.45
Sm4 0.5000 0.2893 0.0681  2 Sm 3.13-3.38, 2 Tb 3.23-3.50
Sm5 0.0000 0.2059 0.7941  2 Tb 3.12, 1 Ho 3.48
Sm6 0.5000 0.7107 0.9319  2 Sm 3.13-3.38, 2 Tb 3.23-3.50
Sm7 0.0000 0.7941 0.2059  2 Tb 3.12, 1 Ho 3.48
Tb1 0.5000 0.7043 0.2957  5 Sm 3.12-3.45
Tb2 0.5000 0.2957 0.7043  5 Sm 3.12-3.45
Ho1 0.0000 0.0000 0.0000  10 Sm 3.48-3.66

Computed properties:
Size of the total moment in μB/f.u.: 0.00

=====

Arrangement x

A plane-wave DFT calculation with GGA-PBE was carried out for a relaxed structure of Tb2Sm7Ho.

abc: 6.2430 9.5425 6.2322
angles: 109.15 99.43 102.69
With the nearest neighbours (Å) after each atom.
Element x y z (fractional)
Ho1 0.0000 0.0000 0.0000  10 Sm 3.59-3.60, 2 Tb 3.61
Tb1 0.8001 0.5999 0.5996  9 Sm 3.60-3.61, 2 Tb 3.60-3.61, 1 Ho 3.61
Tb2 0.1999 0.4001 0.4004  9 Sm 3.60-3.61, 2 Tb 3.60-3.61, 1 Ho 3.61
Sm1 0.9005 0.3000 0.8009  8 Sm 3.59-3.61, 3 Tb 3.60-3.61, 1 Ho 3.60
Sm2 0.5000 0.5000 0.0000  4 Tb 3.60, 8 Sm 3.60-3.61
Sm3 0.7012 0.8999 0.4012  9 Sm 3.59-3.61, 2 Ho 3.59-3.60, 1 Tb 3.60
Sm4 0.4000 0.8001 0.8001  7 Sm 3.59-3.61, 3 Tb 3.60-3.61, 2 Ho 3.60
Sm5 0.0995 0.7000 0.1991  8 Sm 3.59-3.61, 3 Tb 3.60-3.61, 1 Ho 3.60
Sm6 0.6000 0.1999 0.1999  7 Sm 3.59-3.61, 3 Tb 3.60-3.61, 2 Ho 3.60
Sm7 0.2988 0.1001 0.5988  9 Sm 3.59-3.61, 2 Ho 3.59-3.60, 1 Tb 3.60

Computed properties:
Size of the total moment in μB/f.u.: 0.00

=====

Of them, arrangement x has the highest stability.

=====

Arrangement w

A plane-wave DFT calculation with GGA-PBE was carried out for a relaxed structure of Tb4Sm7Ho.

abc: 5.9612 9.7505 8.6080
angles: 60.76 69.74 72.20
With the nearest neighbours (Å) after each atom.
Element x y z (fractional)
Sm1 0.9179 0.4414 0.7229  2 Sm 3.28-3.41, 3 Tb 3.45-3.56
Sm2 0.5000 0.0000 0.0000  2 Ho 2.98
Sm3 0.7918 0.2292 0.1873  1 Ho 3.09, 2 Tb 3.22-3.29, 2 Sm 3.29-3.41
Sm4 0.2112 0.1211 0.4565  6 Sm 3.29-3.68, 2 Tb 3.66
Sm5 0.0821 0.5586 0.2771  2 Sm 3.28-3.41, 3 Tb 3.45-3.56
Sm6 0.7888 0.8789 0.5435  6 Sm 3.29-3.68, 2 Tb 3.66
Sm7 0.2082 0.7708 0.8127  1 Ho 3.09, 2 Tb 3.22-3.29, 2 Sm 3.29-3.41
Tb1 0.4270 0.6986 0.4475  4 Sm 3.29-3.66, 2 Tb 3.41-3.69
Tb2 0.6730 0.6108 0.0432  7 Sm 3.22-3.56
Tb3 0.3270 0.3892 0.9568  7 Sm 3.22-3.56
Tb4 0.5730 0.3014 0.5525  4 Sm 3.29-3.66, 2 Tb 3.41-3.69
Ho1 0.0000 0.0000 0.0000  4 Sm 2.98-3.09

Computed properties:
Size of the total moment in μB/f.u.: 0.26

=====

Arrangement x

A plane-wave DFT calculation with GGA-PBE was carried out for a relaxed structure of Tb4Sm7Ho.

abc: 7.2520 9.5909 8.9564
angles: 81.11 90.02 40.95
With the nearest neighbours (Å) after each atom.
Element x y z (fractional)
Tb1 0.7207 0.7794 0.6661  4 Tb 3.56-3.63, 8 Sm 3.58-3.63
Tb2 0.2793 0.2206 0.3339  4 Tb 3.56-3.63, 8 Sm 3.58-3.63
Tb3 0.5288 0.7215 0.3322  8 Sm 3.57-3.63, 1 Ho 3.57, 3 Tb 3.59-3.63
Tb4 0.4712 0.2785 0.6678  8 Sm 3.57-3.63, 1 Ho 3.57, 3 Tb 3.59-3.63
Sm1 0.9710 0.2794 0.6666  6 Tb 3.57-3.63, 5 Sm 3.58-3.63, 1 Ho 3.58
Sm2 0.2212 0.7790 0.6664  6 Sm 3.56-3.63, 1 Ho 3.58, 5 Tb 3.59-3.63
Sm3 0.7788 0.2210 0.3336  6 Sm 3.56-3.63, 1 Ho 3.58, 5 Tb 3.59-3.63
Sm4 0.2491 0.4998 0.9994  3 Tb 3.57-3.58, 7 Sm 3.58-3.64, 2 Ho 3.63
Sm5 0.0290 0.7206 0.3334  6 Tb 3.57-3.63, 5 Sm 3.58-3.63, 1 Ho 3.58
Sm6 0.5000 0.0000 0.0000  4 Tb 3.57-3.58, 6 Sm 3.58-3.63, 2 Ho 3.63
Sm7 0.7509 0.5002 0.0006  3 Tb 3.57-3.58, 7 Sm 3.58-3.64, 2 Ho 3.63
Ho1 0.0000 0.0000 0.0000  2 Tb 3.57, 10 Sm 3.58-3.63

Computed properties:
Size of the total moment in μB/f.u.: 0.00

=====

Of them, arrangement x has the highest stability.

=====

Arrangement w

A plane-wave DFT calculation with GGA-PBE was carried out for a relaxed structure of Tb3Sm2Ho2.

abc: 3.5035 8.7169 8.4986
angles: 115.37 101.90 90.00
With the nearest neighbours (Å) after each atom.
Element x y z (fractional)
Sm1 0.9209 0.7996 0.8419  3 Sm 3.33-3.50, 4 Tb 3.40-3.57, 2 Ho 3.57
Sm2 0.0791 0.2004 0.1581  3 Sm 3.33-3.50, 4 Tb 3.40-3.57, 2 Ho 3.57
Ho1 0.3621 0.0926 0.7241  4 Ho 3.50-3.78, 5 Tb 3.54-3.72, 4 Sm 3.57-3.74
Ho2 0.6379 0.9074 0.2759  4 Ho 3.50-3.78, 5 Tb 3.54-3.72, 4 Sm 3.57-3.74
Tb1 0.7786 0.3511 0.5573  5 Tb 3.32-3.59, 3 Sm 3.46-3.57, 3 Ho 3.54-3.58
Tb2 0.0000 0.5000 0.0000  4 Tb 3.32-3.50, 2 Sm 3.40, 4 Ho 3.72
Tb3 0.2214 0.6489 0.4427  5 Tb 3.32-3.59, 3 Sm 3.46-3.57, 3 Ho 3.54-3.58

Computed properties:
Size of the total moment in μB/f.u.: 0.00

=====

Arrangement x

A plane-wave DFT calculation with GGA-PBE was carried out for a relaxed structure of Tb3Sm2Ho2.

abc: 3.5698 10.7137 6.1670
angles: 95.52 73.30 89.96
With the nearest neighbours (Å) after each atom.
Element x y z (fractional)
Tb1 0.0000 0.0000 0.0000  6 Sm 3.56-3.58, 2 Tb 3.57, 4 Ho 3.58
Tb2 0.1429 0.4295 0.7147  5 Ho 3.55-3.57, 5 Tb 3.55-3.57, 2 Sm 3.57
Tb3 0.8571 0.5705 0.2853  5 Ho 3.55-3.57, 5 Tb 3.55-3.57, 2 Sm 3.57
Ho1 0.4289 0.2873 0.1416  7 Tb 3.55-3.58, 3 Sm 3.56-3.57, 2 Ho 3.57
Ho2 0.5711 0.7127 0.8584  7 Tb 3.55-3.58, 3 Sm 3.56-3.57, 2 Ho 3.57
Sm1 0.7151 0.1442 0.5704  5 Tb 3.56-3.58, 3 Ho 3.56-3.57, 4 Sm 3.57-3.59
Sm2 0.2849 0.8558 0.4296  5 Tb 3.56-3.58, 3 Ho 3.56-3.57, 4 Sm 3.57-3.59

Computed properties:
Size of the total moment in μB/f.u.: 0.00

=====

Of them, arrangement x has the highest stability.

=====

Arrangement w

A plane-wave DFT calculation with GGA-PBE was carried out for a relaxed structure of TbSm12Ho7.

abc: 8.7774 8.7774 8.7774
angles: 94.46 94.46 94.46
With the nearest neighbours (Å) after each atom.
Element x y z (fractional)
Sm1 0.7506 0.3186 0.1859  3 Ho 3.36-3.61, 3 Sm 3.39-3.68
Sm2 0.1859 0.7506 0.3186  3 Ho 3.36-3.61, 3 Sm 3.39-3.68
Sm3 0.1450 0.4103 0.4745  2 Ho 3.11-3.14, 2 Sm 3.14-3.39
Sm4 0.4103 0.4745 0.1450  2 Ho 3.11-3.14, 2 Sm 3.14-3.39
Sm5 0.8141 0.2494 0.6814  3 Ho 3.36-3.61, 3 Sm 3.39-3.68
Sm6 0.5897 0.5255 0.8550  2 Ho 3.11-3.14, 2 Sm 3.14-3.39
Sm7 0.8550 0.5897 0.5255  2 Ho 3.11-3.14, 2 Sm 3.14-3.39
Sm8 0.3186 0.1859 0.7506  3 Ho 3.36-3.61, 3 Sm 3.39-3.68
Sm9 0.6814 0.8141 0.2494  3 Ho 3.36-3.61, 3 Sm 3.39-3.68
Sm10 0.4745 0.1450 0.4103  2 Ho 3.11-3.14, 2 Sm 3.14-3.39
Sm11 0.2494 0.6814 0.8141  3 Ho 3.36-3.61, 3 Sm 3.39-3.68
Sm12 0.5255 0.8550 0.5897  2 Ho 3.11-3.14, 2 Sm 3.14-3.39
Ho1 0.9841 0.9195 0.6528  1 Tb 3.06, 2 Sm 3.11-3.36, 1 Ho 3.15
Ho2 0.0159 0.0805 0.3472  1 Tb 3.06, 2 Sm 3.11-3.36, 1 Ho 3.15
Ho3 0.6528 0.9841 0.9195  1 Tb 3.06, 2 Sm 3.11-3.36, 1 Ho 3.15
Ho4 0.0805 0.3472 0.0159  1 Tb 3.06, 2 Sm 3.11-3.36, 1 Ho 3.15
Ho5 0.3472 0.0159 0.0805  1 Tb 3.06, 2 Sm 3.11-3.36, 1 Ho 3.15
Ho6 0.9195 0.6528 0.9841  1 Tb 3.06, 2 Sm 3.11-3.36, 1 Ho 3.15
Ho7 0.5000 0.5000 0.5000  6 Sm 3.14
Tb1 0.0000 0.0000 0.0000  6 Ho 3.06

Computed properties:
Size of the total moment in μB/f.u.: 0.00

=====

Arrangement x

A plane-wave DFT calculation with GGA-PBE was carried out for a relaxed structure of TbSm12Ho7.

abc: 6.1553 11.4817 11.4817
angles: 116.88 100.29 100.29
With the nearest neighbours (Å) after each atom.
Element x y z (fractional)
Sm1 0.0867 0.5864 0.1732  2 Ho 3.35-3.36, 5 Sm 3.39-3.70
Sm2 0.9133 0.4136 0.8268  2 Ho 3.35-3.36, 5 Sm 3.39-3.70
Sm3 0.5004 0.5869 0.4136  2 Ho 3.35-3.36, 5 Sm 3.39-3.70
Sm4 0.4133 0.3536 0.9996  4 Ho 3.29-3.59, 1 Sm 3.34
Sm5 0.4996 0.4131 0.5864  2 Ho 3.35-3.36, 5 Sm 3.39-3.70
Sm6 0.5867 0.6464 0.0004  4 Ho 3.29-3.59, 1 Sm 3.34
Sm7 0.0865 0.1732 0.5869  2 Ho 3.35-3.36, 5 Sm 3.39-3.70
Sm8 0.5862 0.9996 0.6460  4 Ho 3.29-3.59, 1 Sm 3.34
Sm9 0.4138 0.0004 0.3540  4 Ho 3.29-3.59, 1 Sm 3.34
Sm10 0.9135 0.8268 0.4131  2 Ho 3.35-3.36, 5 Sm 3.39-3.70
Sm11 0.9402 0.3540 0.3536  4 Ho 3.29-3.59, 1 Sm 3.34
Sm12 0.0598 0.6460 0.6464  4 Ho 3.29-3.59, 1 Sm 3.34
Ho1 0.8734 0.2445 0.9996  1 Tb 3.05, 4 Sm 3.29-3.36, 1 Ho 3.30
Ho2 0.8738 0.0004 0.2449  1 Tb 3.05, 4 Sm 3.29-3.36, 1 Ho 3.30
Ho3 0.6289 0.7551 0.7555  1 Tb 3.05, 4 Sm 3.29-3.36, 1 Ho 3.30
Ho4 0.5000 0.0000 0.0000  2 Tb 3.08, 6 Ho 3.30
Ho5 0.1262 0.9996 0.7551  1 Tb 3.05, 4 Sm 3.29-3.36, 1 Ho 3.30
Ho6 0.3711 0.2449 0.2445  1 Tb 3.05, 4 Sm 3.29-3.36, 1 Ho 3.30
Ho7 0.1266 0.7555 0.0004  1 Tb 3.05, 4 Sm 3.29-3.36, 1 Ho 3.30
Tb1 0.0000 0.0000 0.0000  8 Ho 3.05-3.08

Computed properties:
Size of the total moment in μB/f.u.: 0.00

=====

Of them, arrangement x has the highest stability.

=====

Arrangement w

A plane-wave DFT calculation with GGA-PBE was carried out for a relaxed structure of Tb7Sm3Ho.

abc: 8.6580 7.0842 7.0842
angles: 120.00 90.00 90.00
With the nearest neighbours (Å) after each atom.
Element x y z (fractional)
Tb1 0.4478 0.3353 0.1677  7 Tb 3.48-3.56, 2 Ho 3.54, 2 Sm 3.55
Tb2 0.1189 0.1677 0.8323  1 Ho 3.48, 8 Tb 3.51-3.56, 2 Sm 3.55
Tb3 0.1215 0.6667 0.3333  9 Tb 3.48-3.54, 3 Sm 3.57
Tb4 0.4478 0.8323 0.6647  7 Tb 3.48-3.56, 2 Ho 3.54, 2 Sm 3.55
Tb5 0.1189 0.6646 0.8323  1 Ho 3.48, 8 Tb 3.51-3.56, 2 Sm 3.55
Tb6 0.1189 0.1677 0.3354  1 Ho 3.48, 8 Tb 3.51-3.56, 2 Sm 3.55
Tb7 0.4478 0.8323 0.1677  7 Tb 3.48-3.56, 2 Ho 3.54, 2 Sm 3.55
Ho1 0.4447 0.3333 0.6667  9 Tb 3.48-3.54, 3 Sm 3.57
Sm1 0.7829 0.4999 0.5001  4 Sm 3.54, 5 Tb 3.55-3.57, 1 Ho 3.57
Sm2 0.7829 0.0001 0.5001  4 Sm 3.54, 5 Tb 3.55-3.57, 1 Ho 3.57
Sm3 0.7829 0.4999 0.9999  4 Sm 3.54, 5 Tb 3.55-3.57, 1 Ho 3.57

Computed properties:
Size of the total moment in μB/f.u.: 0.00

=====

Arrangement x

A plane-wave DFT calculation with GGA-PBE was carried out for a relaxed structure of Tb7Sm3Ho.

abc: 5.5531 10.0502 8.9125
angles: 106.18 128.52 90.00
With the nearest neighbours (Å) after each atom.
Element x y z (fractional)
Tb1 0.1441 0.2898 0.6440  3 Tb 3.27-3.57, 2 Sm 3.35-3.36
Tb2 0.9102 0.8292 0.9100  3 Tb 3.21-3.31, 1 Ho 3.52, 5 Sm 3.55-3.58
Tb3 0.3160 0.6379 0.8159  5 Tb 3.27-3.57, 2 Ho 3.51, 2 Sm 3.54
Tb4 0.0898 0.1708 0.0900  3 Tb 3.21-3.31, 1 Ho 3.52, 5 Sm 3.55-3.58
Tb5 0.6840 0.3621 0.1841  5 Tb 3.27-3.57, 2 Ho 3.51, 2 Sm 3.54
Tb6 0.8559 0.7102 0.3560  3 Tb 3.27-3.57, 2 Sm 3.35-3.36
Tb7 0.5000 0.0000 0.5000  4 Sm 3.40
Sm1 0.2825 0.0018 0.7828  1 Sm 3.04, 4 Tb 3.35-3.40
Sm2 0.7175 0.9982 0.2172  1 Sm 3.04, 4 Tb 3.35-3.40
Sm3 0.0000 0.5000 0.0000  2 Ho 3.49, 10 Tb 3.54-3.82
Ho1 0.5000 0.5000 0.5000  2 Sm 3.49, 10 Tb 3.51-3.83

Computed properties:
Size of the total moment in μB/f.u.: 0.00

=====

Of them, arrangement x has the highest stability.